! CeAl2Ni (GGA-PBE, optimized geometry); values from VASP
&SYSTEM
  ibrav = 0, nat = 4, ntyp = 3
/
ATOMIC_SPECIES
Ni 58.69 Ni.upf
Al 26.98 Al.upf
Ce 140.12 Ce.upf
CELL_PARAMETERS angstrom
-2.1345 1.2712 1.4718
-0.6800 -0.9284 2.6483
5.2401 6.1867 5.0884
ATOMIC_POSITIONS crystal
Ni 0.0000 0.0000 0.0000
Al 0.7330 0.7330 0.8009
Al 0.2670 0.2670 0.1991
Ce 0.5000 0.5000 0.5000
! Symmetry: R-3m (166)
! Energy relative to the elements in meV/atom: -196
! Energy in Ry/atom: -0.3672

***

! CeAl2Ni (GGA-PBE, optimized geometry); values from VASP
&SYSTEM
  ibrav = 0, nat = 8, ntyp = 3
/
ATOMIC_SPECIES
Ni 58.69 Ni.upf
Al 26.98 Al.upf
Ce 140.12 Ce.upf
CELL_PARAMETERS angstrom
4.0750 0.0026 0.0000
-2.0342 5.3199 0.0000
0.0000 0.0000 6.8901
ATOMIC_POSITIONS crystal
Ni 0.2186 0.4374 0.2500
Ni 0.7814 0.5626 0.7500
Al 0.3348 0.6695 0.9444
Al 0.6652 0.3305 0.0556
Al 0.6652 0.3305 0.4444
Al 0.3348 0.6695 0.5556
Ce 0.9472 0.8947 0.2500
Ce 0.0528 0.1053 0.7500
! Symmetry: P2_1/m (11)
! Energy relative to the elements in meV/atom: -531
! Energy in Ry/atom: -0.3918

***

! CeAlNi (GGA-PBE, optimized geometry); values from VASP
&SYSTEM
  ibrav = 0, nat = 3, ntyp = 3
/
ATOMIC_SPECIES
Ni 58.69 Ni.upf
Al 26.98 Al.upf
Ce 140.12 Ce.upf
CELL_PARAMETERS angstrom
4.4533 0.0000 0.0000
2.2267 3.8567 0.0000
2.2267 1.2856 3.6361
ATOMIC_POSITIONS crystal
Ni 0.2500 0.2500 0.2500
Al 0.0000 0.0000 0.0000
Ce 0.5000 0.5000 0.5000
! Symmetry: F-43m (216)
! Energy relative to the elements in meV/atom: -345
! Energy in Ry/atom: -0.4041

***

! Ce2Al3Ni2 (GGA-PBE, optimized geometry); values from VASP
&SYSTEM
  ibrav = 0, nat = 7, ntyp = 3
/
ATOMIC_SPECIES
Ce 140.12 Ce.upf
Al 26.98 Al.upf
Ni 58.69 Ni.upf
CELL_PARAMETERS angstrom
4.1495 0.0000 0.0000
-2.0747 5.0536 -0.3289
0.0000 -2.7572 6.3207
ATOMIC_POSITIONS crystal
Ce 0.8558 0.7116 0.2087
Ce 0.1442 0.2884 0.7913
Al 0.5000 0.0000 0.0000
Al 0.6372 0.2743 0.4386
Al 0.3628 0.7257 0.5614
Ni 0.8650 0.7300 0.7863
Ni 0.1350 0.2700 0.2137
! Symmetry: C2/m (12)
! Energy relative to the elements in meV/atom: -511
! Energy in Ry/atom: -0.4014

***

! CeAlNi (GGA-PBE, optimized geometry); values from VASP
&SYSTEM
  ibrav = 0, nat = 18, ntyp = 3
/
ATOMIC_SPECIES
Ce 140.12 Ce.upf
Al 26.98 Al.upf
Ni 58.69 Ni.upf
CELL_PARAMETERS angstrom
-0.8954 0.1372 3.8705
-6.1634 -2.9320 -1.3218
4.9714 -11.1471 1.5452
ATOMIC_POSITIONS crystal
Ce 0.0000 0.2520 0.9609
Ce 0.0000 0.7480 0.0391
Ce 0.0000 0.2520 0.5391
Ce 0.0000 0.7480 0.4609
Ce 0.0000 0.1135 0.2500
Ce 0.0000 0.8865 0.7500
Al 0.5000 0.4206 0.1377
Al 0.5000 0.5794 0.8623
Al 0.5000 0.4206 0.3623
Al 0.5000 0.5794 0.6377
Al 0.5000 0.7662 0.2500
Al 0.5000 0.2338 0.7500
Ni 0.5000 0.0490 0.1006
Ni 0.5000 0.9510 0.8994
Ni 0.5000 0.0490 0.3994
Ni 0.5000 0.9510 0.6006
Ni 0.0000 0.5369 0.2500
Ni 0.0000 0.4631 0.7500
! Symmetry: Pmma (51)
! Energy relative to the elements in meV/atom: -519
! Energy in Ry/atom: -0.4168

***

! Ce11Al9Ni4 (GGA-PBE, optimized geometry); values from VASP
&SYSTEM
  ibrav = 0, nat = 24, ntyp = 3
/
ATOMIC_SPECIES
Ce 140.12 Ce.upf
Al 26.98 Al.upf
Ni 58.69 Ni.upf
CELL_PARAMETERS angstrom
2.3697 8.7415 -8.7486
-2.5080 5.1724 11.2037
3.4482 -0.1110 0.8231
ATOMIC_POSITIONS crystal
Ce 0.9437 0.5815 0.0000
Ce 0.0563 0.4185 0.0000
Ce 0.5815 0.9437 0.0000
Ce 0.4185 0.0563 0.0000
Ce 0.3738 0.6262 0.0000
Ce 0.6262 0.3738 0.0000
Ce 0.1546 0.8454 0.0000
Ce 0.8454 0.1546 0.0000
Ce 0.0000 0.0000 0.0000
Ce 0.6880 0.6880 0.0000
Ce 0.3120 0.3120 0.0000
Al 0.1698 0.6354 0.5000
Al 0.8302 0.3646 0.5000
Al 0.6354 0.1698 0.5000
Al 0.3646 0.8302 0.5000
Al 0.9153 0.7756 0.5000
Al 0.0847 0.2244 0.5000
Al 0.7756 0.9153 0.5000
Al 0.2244 0.0847 0.5000
Al 0.5000 0.5000 0.5000
Ni 0.7569 0.5518 0.5000
Ni 0.2431 0.4482 0.5000
Ni 0.5518 0.7569 0.5000
Ni 0.4482 0.2431 0.5000
! Symmetry: Cmmm (65)
! Energy relative to the elements in meV/atom: -399
! Energy in Ry/atom: -0.4032

***

no.,mass density (kg/m³)
1,6167
2,5619
3,6004
4,6171
5,6617
6,6418